VASP calculation (GGA-PBEsol) on a relaxed structure of CaPb5.

Summary:
The final energy is -3.830 eV per atom. Its formation energy is -0.85 eV/f.u. As for the density of states at the Fermi level: 3.6 states/eV/cell. The value obtained for the energy above the most stable polymorph in this dataset is 55 meV per atom.

abc: 6.478 6.478 8.051
angles: 106.05 106.05 32.85
Sites, in units of the cell vectors:
Ca  0.000  0.000  0.000
Pb  0.043  0.043  0.592
Pb  0.325  0.325  0.669
Pb  0.377  0.377  0.258
Pb  0.670  0.670  0.339
Pb  0.712  0.712  0.929